1.
NdHo2Er4Th | PBE-GGA | relaxed

Properties
SG = P2/m, No. 10
Uncorrected energy = -4.918 eV per atom
Calculated density = 9.06 Mg/m³
DFT formation energy = 31 meV/atom
Magnetization = 0.0000 μB/atom

abc: 5.043 5.034 11.131
angles: 63.16 90.00 90.00
Fractional coordinates of all 8 atoms:
Th 0.000 0.500 0.500
Er 0.000 0.754 0.746
Er 0.500 0.254 0.746
Er 0.500 0.746 0.254
Er 0.000 0.246 0.254
Ho 0.000 0.000 0.000
Ho 0.500 0.000 0.500
Nd 0.500 0.500 0.000

=====

2.
NdHoErTh2 | PBE-GGA | relaxed

Properties
SG = Cmcm, No. 63
Uncorrected energy = -5.325 eV per atom
Calculated density = 8.98 Mg/m³
DFT formation energy = 425 meV/atom
Magnetization = 0.0000 μB/atom

abc: 6.665 6.662 8.516
angles: 113.03 90.00 90.00
Fractional coordinates of all 10 atoms:
Th 0.500 0.752 0.000
Th 0.000 0.752 0.000
Th 0.000 0.248 0.000
Th 0.500 0.248 0.000
Ho 0.250 0.244 0.488
Ho 0.750 0.756 0.512
Er 0.250 0.849 0.697
Er 0.750 0.151 0.303
Nd 0.250 0.653 0.306
Nd 0.750 0.347 0.694

=====

3.
NdHo2ErTh | PBE-GGA | relaxed

Properties
SG = Pmmm, No. 47
Uncorrected energy = -4.855 eV per atom
Calculated density = 8.42 Mg/m³
DFT formation energy = 326 meV/atom
Magnetization = 0.0000 μB/atom

abc: 5.623 8.675 7.066
angles: 89.98 90.00 90.00
Fractional coordinates of all 10 atoms:
Ho 0.500 0.678 0.000
Ho 0.500 0.322 0.000
Ho 0.500 0.678 0.500
Ho 0.500 0.322 0.500
Nd 0.000 0.000 0.000
Nd 0.000 0.000 0.500
Th 0.500 0.000 0.250
Th 0.500 0.000 0.750
Er 0.000 0.500 0.750
Er 0.000 0.500 0.250

=====

4.
NdHoErTh | PBE-GGA | relaxed

Properties
SG = F-43m, No. 216
Uncorrected energy = -5.200 eV per atom
Calculated density = 9.05 Mg/m³
DFT formation energy = 132 meV/atom
Magnetization = 0.0000 μB/atom

abc: 5.685 5.685 5.685
angles: 60.00 60.00 60.00
Fractional coordinates of all 4 atoms:
Er 0.500 0.500 0.500
Th 0.750 0.750 0.750
Ho 0.000 0.000 0.000
Nd 0.250 0.250 0.250

=====

5.
Nd3HoEr6Th2 | PBE-GGA | relaxed

Properties
SG = C2/m, No. 12
Uncorrected energy = -5.074 eV per atom
Calculated density = 8.96 Mg/m³
DFT formation energy = 18 meV/atom
Magnetization = 0.0000 μB/atom

abc: 6.182 6.182 11.738
angles: 95.04 95.04 119.97
Fractional coordinates of all 12 atoms:
Er 0.256 0.256 0.755
Er 0.744 0.744 0.245
Er 0.581 0.918 0.755
Er 0.419 0.082 0.245
Er 0.082 0.419 0.245
Er 0.918 0.581 0.755
Nd 0.834 0.166 0.500
Nd 0.166 0.834 0.500
Nd 0.500 0.500 0.500
Ho 0.000 0.000 0.000
Th 0.667 0.333 0.000
Th 0.333 0.667 0.000

=====

6.
NdHoEr2Tl2 | PBE-GGA | relaxed

Properties
SG = Pmc2_1, No. 26
Uncorrected energy = -4.130 eV per atom
Calculated density = 10.01 Mg/m³
DFT formation energy = -263 meV/atom
Magnetization = 0.0000 μB/atom

abc: 5.123 6.806 10.011
angles: 90.00 90.00 90.00
Fractional coordinates of all 12 atoms:
Tl 0.000 0.798 0.132
Tl 0.500 0.721 0.640
Tl 0.500 0.221 0.360
Tl 0.000 0.298 0.868
Nd 0.000 0.459 0.542
Nd 0.000 0.959 0.458
Ho 0.500 0.681 0.307
Ho 0.500 0.181 0.693
Er 0.000 0.836 0.818
Er 0.000 0.336 0.182
Er 0.500 0.551 0.957
Er 0.500 0.051 0.043

=====

7.
Nd2HoErTl2 | PBE-GGA | relaxed

Properties
SG = Pmc2_1, No. 26
Uncorrected energy = -4.167 eV per atom
Calculated density = 9.51 Mg/m³
DFT formation energy = -265 meV/atom
Magnetization = 0.0000 μB/atom

abc: 5.136 6.861 10.201
angles: 90.00 90.00 90.00
Fractional coordinates of all 12 atoms:
Tl 0.500 0.217 0.376
Tl 0.000 0.800 0.146
Tl 0.000 0.300 0.854
Tl 0.500 0.717 0.624
Nd 0.500 0.060 0.043
Nd 0.000 0.829 0.812
Nd 0.000 0.329 0.188
Nd 0.500 0.560 0.957
Ho 0.000 0.961 0.459
Ho 0.000 0.461 0.541
Er 0.500 0.680 0.316
Er 0.500 0.180 0.684

=====

8.
Nd2HoErTl4 | PBE-GGA | relaxed

Properties
SG = R-3m, No. 166
Uncorrected energy = -3.869 eV per atom
Calculated density = 10.52 Mg/m³
DFT formation energy = -351 meV/atom
Magnetization = 0.0000 μB/atom

abc: 5.430 5.430 9.425
angles: 73.26 73.26 60.00
Fractional coordinates of all 8 atoms:
Nd 0.250 0.250 0.250
Nd 0.750 0.750 0.750
Er 0.500 0.500 0.500
Tl 0.875 0.875 0.376
Tl 0.375 0.375 0.875
Tl 0.625 0.625 0.125
Tl 0.125 0.125 0.624
Ho 0.000 0.000 0.000